{"formula": "Tc2HgRh", "functional": "PBE", "state": "optimized geometry", "dft_energy_ev_per_atom": -6.75, "mass_density_g_cm3": 13.0, "n_ef_per_ev_fu": 4.4, "delta_e_f_kcal_per_mol_atoms": 7.9, "lattice": [[-1.931, 1.180, -4.265], [-2.172, -1.625, -3.993], [-4.785, 0.537, 1.286]], "species": ["Hg", "Tc", "Tc", "Rh"], "frac_coords": [[0.501, 0.501, 0.489], [0.000, 0.000, 0.981], [0.739, 0.739, 0.796], [0.261, 0.261, 0.234]]}

***

{"formula": "Nd2MgAs4Pd3", "functional": "PBE", "state": "optimized geometry", "dft_energy_ev_per_atom": -5.38, "mass_density_g_cm3": 7.7, "n_ef_per_ev_fu": 4.6, "delta_e_f_kcal_per_mol_atoms": -19.6, "lattice": [[4.257, 0.000, 0.000], [0.000, 4.257, 0.000], [0.000, 0.000, 11.106]], "species": ["Nd", "Nd", "As", "As", "As", "As", "Pd", "Pd", "Pd", "Mg"], "frac_coords": [[0.500, 0.000, 0.244], [0.000, 0.500, 0.756], [0.500, 0.000, 0.645], [0.500, 0.500, 0.000], [0.000, 0.000, 0.000], [0.000, 0.500, 0.355], [0.000, 0.500, 0.132], [0.000, 0.000, 0.500], [0.500, 0.000, 0.868], [0.500, 0.500, 0.500]]}

***

{"formula": "Pu2NiPb", "functional": "PBE", "state": "optimized geometry", "dft_energy_ev_per_atom": -9.54, "mass_density_g_cm3": 14.1, "n_ef_per_ev_fu": 10.7, "delta_e_f_kcal_per_mol_atoms": 0.0, "lattice": [[4.712, 0.000, 0.000], [0.000, 4.348, 0.000], [0.000, 0.000, 4.348]], "species": ["Pu", "Pu", "Pb", "Ni"], "frac_coords": [[0.000, 0.000, 0.500], [0.000, 0.500, 0.000], [0.500, 0.000, 0.000], [0.500, 0.500, 0.500]]}

***

{"formula": "SmTh2NpP4", "functional": "PBE", "state": "optimized geometry", "dft_energy_ev_per_atom": -8.15, "mass_density_g_cm3": 8.3, "n_ef_per_ev_fu": 13.3, "delta_e_f_kcal_per_mol_atoms": -31.9, "lattice": [[5.796, 0.003, 0.000], [-0.003, 5.796, 0.000], [-2.896, -2.899, 5.793]], "species": ["Np", "Sm", "Th", "Th", "P", "P", "P", "P"], "frac_coords": [[0.750, 0.250, 0.500], [0.500, 0.500, 0.000], [0.250, 0.750, 0.500], [0.000, 0.000, 0.000], [0.250, 0.250, 0.501], [0.996, 0.496, 0.992], [0.750, 0.750, 0.499], [0.504, 0.004, 0.008]]}

***

{"formula": "Sm3Ga2Pd7", "functional": "PBE", "state": "optimized geometry", "dft_energy_ev_per_atom": -5.38, "mass_density_g_cm3": 8.9, "n_ef_per_ev_fu": 3.6, "delta_e_f_kcal_per_mol_atoms": -15.3, "lattice": [[4.058, 0.000, 0.000], [0.000, 4.122, -0.612], [0.000, 0.099, 14.847]], "species": ["Pd", "Pd", "Pd", "Pd", "Pd", "Pd", "Pd", "Ga", "Ga", "Sm", "Sm", "Sm"], "frac_coords": [[0.500, 0.867, 0.734], [0.000, 0.000, 0.000], [0.000, 0.369, 0.738], [0.000, 0.631, 0.262], [0.500, 0.133, 0.266], [0.000, 0.212, 0.424], [0.000, 0.788, 0.576], [0.000, 0.917, 0.834], [0.000, 0.083, 0.166], [0.500, 0.500, 0.000], [0.500, 0.701, 0.402], [0.500, 0.299, 0.598]]}

***

{"formula": "VP2PbS", "functional": "PBE", "state": "optimized geometry", "dft_energy_ev_per_atom": -4.13, "mass_density_g_cm3": 4.3, "n_ef_per_ev_fu": 8.4, "e_form_raw_ev_per_atom": 1.4204, "lattice": [[5.107, 0.000, 0.000], [0.000, 5.107, 0.000], [0.000, 0.000, 5.188]], "species": ["P", "P", "Pb", "V", "S"], "frac_coords": [[0.500, 0.000, 0.000], [0.000, 0.500, 0.000], [0.000, 0.000, 0.000], [0.500, 0.500, 0.500], [0.000, 0.000, 0.500]]}